## MoAsO4 (PBE with a Hubbard U)

Data for MoAsO4 after structural relaxation.

Results
**Polymorph energy (0 for the lowest one)**: 34.1 kJ per mole of atoms
**Size of the total moment**: 1.0 μB/f.u.
**Crystal system**: tetragonal

Cell lengths 5.016, 5.016, 9.857 Å; angles 90.00, 90.00, 90.00 degrees
Space group P-42c (No. 112)
One atom of each set of equivalent atoms:
Mo: 0.000 0.000 0.000 x2
As: 0.000 0.500 0.250 x2
O: 0.162 0.244 0.383 x8